Record 1
# NaAgI2N

Crystalline NaAgI2N at its relaxed geometry (GGA-PBE, Alexandria via LeMat-Bulk).

Output
Formation energy from raw total energies in eV/atom: 0.329
E_tot in eV per atom: -2.790
Excess energy over the best structure of this formula in the dataset in meV/atom: 0
Spin magnetization in μB/f.u.: 2.12
DOS at the Fermi energy in states/eV per cell: 2.2

Cell lengths 5.9517, 5.9517, 4.1945 Å; angles 90.00, 90.00, 90.00 degrees
Closest atoms and distances in Å follow each position.
Fractional positions:
N: 0.0000 0.0000 0.5000  2 Ag 2.10
Ag: 0.0000 0.0000 0.0000  2 N 2.10
Na: 0.5000 0.5000 0.5000  8 I 3.64
I: 0.0000 0.5000 0.0000  2 Ag 2.98
I: 0.5000 0.0000 0.0000  2 Ag 2.98

Record 2
# La3TeS6

Crystalline La3TeS6 at its relaxed geometry (GGA-PBE, Alexandria via LeMat-Bulk).

Output
Formation energy from raw total energies in eV/atom: -1.558
E_tot in eV per atom: -5.827
Spin magnetization in μB/f.u.: 0.00
DOS at the Fermi energy in states/eV per cell: 7.8

Cell lengths 6.9589, 8.9310, 8.9310 Å; angles 102.83, 90.00, 90.00 degrees
Closest atoms and distances in Å follow each position.
Fractional positions:
Te: 0.4700 0.8425 0.1575  3 S 2.49-2.74
Te: 0.9700 0.1575 0.8425  3 S 2.49-2.74
S: 0.7400 0.9913 0.0087  2 Te 2.80-2.82, 2 La 3.05
S: 0.1896 0.6897 0.6366  4 La 2.83-2.92
S: 0.2400 0.0087 0.9913  2 Te 2.80-2.82, 2 La 3.05
S: 0.6923 0.5824 0.1056  1 Te 2.74, 3 La 2.90-3.03
S: 0.1445 0.7681 0.2319  1 Te 2.49
S: 0.6896 0.3103 0.3634  4 La 2.83-2.92
S: 0.1923 0.1056 0.5824  1 Te 2.74, 3 La 2.90-3.03
S: 0.6445 0.2319 0.7681  1 Te 2.49
S: 0.6923 0.8944 0.4176  1 Te 2.74, 3 La 2.90-3.03
S: 0.1923 0.4176 0.8944  1 Te 2.74, 3 La 2.90-3.03
S: 0.1896 0.3634 0.3103  4 La 2.83-2.92
S: 0.6896 0.6366 0.6897  4 La 2.83-2.92
La: 0.4873 0.9142 0.7045  6 S 2.83-3.05
La: 0.4873 0.2955 0.0858  6 S 2.83-3.05
La: 0.3924 0.4035 0.5965  7 S 2.87-2.98
La: 0.8924 0.5965 0.4035  7 S 2.87-2.98
La: 0.9873 0.7045 0.9142  6 S 2.83-3.05
La: 0.9873 0.0858 0.2955  6 S 2.83-3.05

Record 3
# Ba2InCuPd6

Crystalline Ba2InCuPd6 at its relaxed geometry (GGA-PBE, Alexandria via LeMat-Bulk).

Output
E_tot in eV per atom: -4.612
Spin magnetization in μB/f.u.: 0.00
DOS at the Fermi energy in states/eV per cell: 4.5

Cell lengths 6.9532, 6.7522, 6.7125 Å; angles 62.17, 59.01, 90.16 degrees
Closest atoms and distances in Å follow each position.
Fractional positions:
Pd: 0.3783 0.3143 0.7836  1 Cu 2.59, 1 In 2.71, 5 Pd 2.75-2.84
Pd: 0.3158 0.8386 0.0612  1 Cu 2.59, 1 In 2.72, 5 Pd 2.75-2.85
Pd: 0.6842 0.1614 0.9388  1 Cu 2.59, 1 In 2.72, 5 Pd 2.75-2.85
Pd: 0.1604 0.3792 0.5237  1 Cu 2.59, 1 In 2.71, 5 Pd 2.75-2.83
Pd: 0.6217 0.6857 0.2164  1 Cu 2.59, 1 In 2.71, 5 Pd 2.75-2.84
Pd: 0.8396 0.6208 0.4763  1 Cu 2.59, 1 In 2.71, 5 Pd 2.75-2.83
Ba: 0.8076 0.1914 0.3838  1 Cu 3.11, 6 Pd 3.26-3.48
Ba: 0.1924 0.8086 0.6162  1 Cu 3.11, 6 Pd 3.26-3.48
In: 0.5000 0.5000 0.0000  6 Pd 2.71-2.72
Cu: 0.0000 0.0000 0.0000  6 Pd 2.59

Among the records above, which one has the highest E_tot?
NaAgI2N

Which of these has the lowest E_tot?
La3TeS6

Which value of spin magnetization does entry 2 give?
0.00 μB/f.u.

Which of these has the lowest E_tot?
La3TeS6